This record from the Alexandria database describes a geometry-optimized LaDy2Ho3Te6 structure. The functional is GGA-PBE.

The space group is C2/m (No. 12) and the conventional cell measures 19.1249, 4.3613 and 8.8190 Å, with angles of 90.00, 103.55 and 90.00 degrees. The asymmetric unit holds La at (0.0000, 0.0000, 0.0000), Dy at (0.1654, 0.5000, 0.3307), Ho at (0.0000, 0.0000, 0.5000), Ho at (0.1617, 0.5000, 0.8319), Te at (0.0015, 0.5000, 0.2633), Te at (0.1672, 0.0000, 0.5842) and Te at (0.1734, 0.0000, 0.0852).

For the total moment, the calculation gives 0.000 μB per formula unit. For the uncorrected formation energy, the calculation gives -1.313 eV/atom. For the energy, the calculation gives -0.383 Ry per atom. Its volume is 715 Å³/cell.